Entry 1:
Material: CaAg2W
Method: DFT, PBE
State: relaxed

abc: 6.869 6.869 6.869
angles: 90.00 90.00 90.00
Space group F-43m (No. 216)
Symmetry-distinct sites (fractional):
Ca: 0.000 0.000 0.000 x4
Ag: 0.000 0.000 0.500 x4
Ag: 0.250 0.250 0.750 x4
W: 0.250 0.250 0.250 x4

Computed properties:
* V: 20.260 A^3/atom
* size of the total moment: 3.0 μB per formula unit
* formation energy from the elements: 0.88 eV/atom

***

Entry 2:
Material: Ca2AgW2
Method: DFT, PBE
State: relaxed

abc: 4.065 4.065 14.263
angles: 90.00 90.00 90.00
Space group I4/mmm (No. 139)
Symmetry-distinct sites (fractional):
Ca: 0.000 0.500 0.250 x4
Ag: 0.000 0.000 0.000 x2
W: 0.000 0.000 0.422 x4

Computed properties:
* V: 23.572 A^3/atom
* size of the total moment: 0.0 μB per formula unit
* formation energy from the elements: 1.53 eV/atom

***

Entry 3:
Material: CaZnAg2W
Method: DFT, PBE
State: relaxed

abc: 4.815 4.815 5.197
angles: 90.00 90.00 90.00
Space group P4/mmm (No. 123)
Symmetry-distinct sites (fractional):
Ca: 0.000 0.000 0.000 x1
Zn: 0.000 0.000 0.500 x1
Ag: 0.000 0.500 0.500 x2
W: 0.500 0.500 0.000 x1

Computed properties:
* V: 24.095 A^3/atom
* size of the total moment: 3.8 μB per formula unit
* formation energy from the elements: 1.25 eV/atom

***

formation energy from the elements of number 2 (Ca2AgW2)?
1.53 eV/atom

***

Which of these has the lowest V?
CaAg2W